Entry 1:
Material: La4Co2Ni5
Method: DFT, PBE-GGA
State: relaxed

Lattice parameters (Å, degrees): 6.5693 4.1747 7.6613 90.00 92.31 90.00
Last column: nearest neighbours and their distance in Å.
Sites, in units of the cell vectors:
La (0.2405, 0.0000, 0.3779)  6 Ni 2.83-3.01, 2 Co 2.97
La (0.2541, 0.0000, 0.8835)  4 Ni 2.85-2.90, 4 Co 3.03-3.08
La (0.7459, 0.0000, 0.1165)  4 Ni 2.85-2.90, 4 Co 3.03-3.08
La (0.7595, 0.0000, 0.6221)  6 Ni 2.83-3.01, 2 Co 2.97
Co (0.0911, 0.5000, 0.1283)  1 Co 2.26, 2 Ni 2.44-2.47
Co (0.9089, 0.5000, 0.8717)  1 Co 2.26, 2 Ni 2.44-2.47
Ni (0.1496, 0.5000, 0.6324)  1 Co 2.47, 1 Ni 2.55
Ni (0.4606, 0.5000, 0.1734)  1 Co 2.44, 2 Ni 2.51-2.73
Ni (0.5000, 0.5000, 0.5000)  4 Ni 2.51-2.55
Ni (0.5394, 0.5000, 0.8266)  1 Co 2.44, 2 Ni 2.51-2.73
Ni (0.8504, 0.5000, 0.3676)  1 Co 2.47, 1 Ni 2.55

## Properties
total magnetic moment = 1.78 μB per formula unit
calculated formation energy = -19 kJ/mol of atoms

Entry 2:
Material: La6CoNi2
Method: DFT, PBE-GGA
State: relaxed

Lattice parameters (Å, degrees): 6.7487 7.3377 12.1438 90.00 120.36 90.00
Last column: nearest neighbours and their distance in Å.
Sites, in units of the cell vectors:
La (0.0944, 0.0539, 0.2514)  1 Co 2.81, 2 Ni 2.85-2.96
La (0.0944, 0.4461, 0.7514)  1 Co 2.81, 2 Ni 2.85-2.96
La (0.2529, 0.6810, 0.0810)  1 Co 2.77, 2 Ni 2.90-3.03
La (0.2529, 0.8190, 0.5810)  1 Co 2.77, 2 Ni 2.90-3.03
La (0.3883, 0.1787, 0.0691)  1 Co 2.66, 1 Ni 2.85
La (0.3883, 0.3213, 0.5691)  1 Co 2.66, 1 Ni 2.85
La (0.6117, 0.6787, 0.4309)  1 Co 2.66, 1 Ni 2.85
La (0.6117, 0.8213, 0.9309)  1 Co 2.66, 1 Ni 2.85
La (0.7471, 0.1810, 0.4190)  1 Co 2.77, 2 Ni 2.90-3.03
La (0.7471, 0.3190, 0.9190)  1 Co 2.77, 2 Ni 2.90-3.03
La (0.9056, 0.5539, 0.2486)  1 Co 2.81, 2 Ni 2.85-2.96
La (0.9056, 0.9461, 0.7486)  1 Co 2.81, 2 Ni 2.85-2.96
Co (0.0000, 0.0000, 0.0000)  6 La 2.66-2.81
Co (0.0000, 0.5000, 0.5000)  6 La 2.66-2.81
Ni (0.3265, 0.1110, 0.7741)  6 La 2.85-3.13
Ni (0.3265, 0.3890, 0.2741)  6 La 2.85-3.13
Ni (0.6735, 0.6110, 0.7259)  6 La 2.85-3.13
Ni (0.6735, 0.8890, 0.2259)  6 La 2.85-3.13

## Properties
total magnetic moment = 0.00 μB per formula unit
calculated formation energy = -17 kJ/mol of atoms

Entry 3:
Material: La2CoNi
Method: DFT, PBE-GGA
State: relaxed

Lattice parameters (Å, degrees): 4.9714 4.9714 4.9714 60.00 60.00 60.00
Last column: nearest neighbours and their distance in Å.
Sites, in units of the cell vectors:
La (0.2500, 0.2500, 0.2500)  4 Co 3.04, 4 Ni 3.04
La (0.7500, 0.7500, 0.7500)  4 Ni 3.04, 4 Co 3.04
Co (0.0000, 0.0000, 0.0000)  8 La 3.04
Ni (0.5000, 0.5000, 0.5000)  8 La 3.04

## Properties
total magnetic moment = 0.00 μB per formula unit
E above lowest polymorph = 0.094 eV/atom
calculated formation energy = -11 kJ/mol of atoms

Entry 4:
Material: La4CoNi
Method: DFT, PBE-GGA
State: relaxed

Lattice parameters (Å, degrees): 5.2384 8.6455 7.7901 90.00 94.40 90.00
Last column: nearest neighbours and their distance in Å.
Sites, in units of the cell vectors:
La (0.0135, 0.0417, 0.2403)  1 Co 2.74, 1 Ni 2.93
La (0.0135, 0.4583, 0.2403)  1 Co 2.74, 1 Ni 2.93
La (0.4467, 0.7500, 0.4823)  2 Ni 2.64-2.69
La (0.4792, 0.2500, 0.9597)  2 Co 2.62-2.72
La (0.5208, 0.7500, 0.0403)  2 Co 2.62-2.72
La (0.5533, 0.2500, 0.5177)  2 Ni 2.64-2.69
La (0.9865, 0.5417, 0.7597)  1 Co 2.74, 1 Ni 2.93
La (0.9865, 0.9583, 0.7597)  1 Co 2.74, 1 Ni 2.93
Co (0.0380, 0.7500, 0.1062)  1 Ni 2.55, 4 La 2.62-2.74
Co (0.9620, 0.2500, 0.8938)  1 Ni 2.55, 4 La 2.62-2.74
Ni (0.0650, 0.2500, 0.5791)  1 Co 2.55, 2 La 2.64-2.69
Ni (0.9350, 0.7500, 0.4209)  1 Co 2.55, 2 La 2.64-2.69

## Properties
total magnetic moment = 0.00 μB per formula unit
E above lowest polymorph = 0.000 eV/atom
calculated formation energy = -14 kJ/mol of atoms

Entry 5:
Material: La2CoNi
Method: DFT, PBE-GGA
State: relaxed

Lattice parameters (Å, degrees): 4.0292 5.9925 5.9925 38.31 90.00 90.00
Last column: nearest neighbours and their distance in Å.
Sites, in units of the cell vectors:
La (0.0000, 0.0000, 0.0000)  4 Ni 2.91, 3 Co 3.10-3.26
La (0.5000, 0.2713, 0.2713)  4 Co 2.89, 2 Ni 3.04
Co (0.0000, 0.7118, 0.7118)  2 Ni 2.60, 4 La 2.89
Ni (0.5000, 0.5664, 0.5664)  2 Co 2.60, 4 La 2.91

## Properties
total magnetic moment = 0.00 μB per formula unit
E above lowest polymorph = 0.006 eV/atom
calculated formation energy = -19 kJ/mol of atoms

Entry 6:
Material: La3CoNi
Method: DFT, PBE-GGA
State: relaxed

Lattice parameters (Å, degrees): 5.2404 5.2404 5.2404 90.00 90.00 90.00
Last column: nearest neighbours and their distance in Å.
Sites, in units of the cell vectors:
La (0.0000, 0.0000, 0.5000)  2 Co 2.62
La (0.0000, 0.5000, 0.0000)  2 Co 2.62
La (0.5000, 0.0000, 0.0000)  2 Co 2.62
Co (0.0000, 0.0000, 0.0000)  6 La 2.62
Ni (0.5000, 0.5000, 0.5000)  12 La 3.71

## Properties
total magnetic moment = 0.00 μB per formula unit
E above lowest polymorph = 0.326 eV/atom
calculated formation energy = 15 kJ/mol of atoms

Entry 7:
Material: LaCo2Ni
Method: DFT, PBE-GGA
State: relaxed

Lattice parameters (Å, degrees): 4.8152 4.8152 4.8152 133.20 127.19 73.21
Last column: nearest neighbours and their distance in Å.
Sites, in units of the cell vectors:
La (0.0000, 0.0000, 0.0000)  8 Co 2.80-2.88, 4 Ni 2.81
Co (0.5279, 0.5279, 0.0000)  2 Co 2.50, 2 Ni 2.79
Co (0.7360, 0.2360, 0.5000)  2 Co 2.50, 2 La 2.80
Ni (0.2656, 0.7656, 0.5000)  8 Co 2.79-2.88, 4 La 2.81

## Properties
total magnetic moment = 2.52 μB per formula unit
calculated formation energy = 24 kJ/mol of atoms

Entry 8:
Material: La2CoNi
Method: DFT, PBE-GGA
State: relaxed

Lattice parameters (Å, degrees): 4.9583 4.9583 3.5318 90.00 90.00 90.00
Last column: nearest neighbours and their distance in Å.
Sites, in units of the cell vectors:
La (0.0000, 0.5000, 0.0000)  4 Co 3.04, 4 Ni 3.04
La (0.5000, 0.0000, 0.0000)  4 Co 3.04, 4 Ni 3.04
Co (0.0000, 0.0000, 0.5000)  8 La 3.04
Ni (0.5000, 0.5000, 0.5000)  8 La 3.04

## Properties
total magnetic moment = 0.00 μB per formula unit
E above lowest polymorph = 0.097 eV/atom
calculated formation energy = -10 kJ/mol of atoms